## Pm2Nd2Sm2Dy (GGA-PBE)

Data for a relaxed structure of Pm2Nd2Sm2Dy.

abc: 11.499 5.142 8.143
angles: 90.00 98.07 90.00
Element x y z (fractional)
1 Pm 0.214 0.000 0.141
2 Pm 0.286 0.500 0.859
3 Pm 0.714 0.500 0.141
4 Pm 0.786 0.000 0.859
5 Nd 0.143 0.500 0.427
6 Nd 0.357 0.000 0.573
7 Nd 0.643 0.000 0.427
8 Nd 0.857 0.500 0.573
9 Sm 0.071 0.000 0.716
10 Sm 0.429 0.500 0.284
11 Sm 0.571 0.500 0.716
12 Sm 0.929 0.000 0.284
13 Dy 0.000 0.500 0.000
14 Dy 0.500 0.000 0.000

space-group type: C2/m (12)
formation energy from the elements: 14 meV/atom
DFT total energy: -4.7117 eV per atom



## Pm3NdSm2Dy6 (GGA-PBE)

Data for a relaxed structure of Pm3NdSm2Dy6.

abc: 6.236 6.236 11.849
angles: 95.02 95.02 119.99
Element x y z (fractional)
1 Pm 0.000 0.000 0.000
2 Pm 0.333 0.667 0.000
3 Pm 0.667 0.333 0.000
4 Nd 0.500 0.500 0.500
5 Sm 0.167 0.833 0.500
6 Sm 0.833 0.167 0.500
7 Dy 0.083 0.416 0.250
8 Dy 0.250 0.250 0.750
9 Dy 0.416 0.083 0.250
10 Dy 0.584 0.917 0.750
11 Dy 0.750 0.750 0.250
12 Dy 0.917 0.584 0.750

space-group type: C2/m (12)
formation energy from the elements: 12 meV/atom
DFT total energy: -4.6601 eV per atom



## PmNd5SmDy2 (GGA-PBE)

Data for a relaxed structure of PmNd5SmDy2.

abc: 10.633 10.633 10.719
angles: 90.00 90.00 148.80
Element x y z (fractional)
1 Pm 0.201 0.799 0.500
2 Pm 0.799 0.201 0.000
3 Nd 0.017 0.983 0.512
4 Nd 0.281 0.719 0.801
5 Nd 0.297 0.703 0.194
6 Nd 0.391 0.609 0.515
7 Nd 0.478 0.522 0.231
8 Nd 0.522 0.478 0.731
9 Nd 0.609 0.391 0.015
10 Nd 0.703 0.297 0.694
11 Nd 0.719 0.281 0.301
12 Nd 0.983 0.017 0.012
13 Sm 0.412 0.588 0.943
14 Sm 0.588 0.412 0.443
15 Dy 0.112 0.888 0.225
16 Dy 0.117 0.883 0.810
17 Dy 0.883 0.117 0.310
18 Dy 0.888 0.112 0.725

space-group type: Cmc2_1 (36)
formation energy from the elements: 143 meV/atom
DFT total energy: -4.5802 eV per atom



## Pm6Nd2SmDy (GGA-PBE)

Data for a relaxed structure of Pm6Nd2SmDy.

abc: 8.952 8.952 9.871
angles: 94.41 94.41 118.06
Element x y z (fractional)
1 Pm 0.017 0.573 0.188
2 Pm 0.121 0.748 0.555
3 Pm 0.252 0.879 0.945
4 Pm 0.294 0.504 0.380
5 Pm 0.427 0.983 0.312
6 Pm 0.496 0.706 0.120
7 Pm 0.504 0.294 0.880
8 Pm 0.573 0.017 0.688
9 Pm 0.706 0.496 0.620
10 Pm 0.748 0.121 0.055
11 Pm 0.879 0.252 0.445
12 Pm 0.983 0.427 0.812
13 Nd 0.195 0.296 0.042
14 Nd 0.296 0.195 0.542
15 Nd 0.704 0.805 0.458
16 Nd 0.805 0.704 0.958
17 Sm 0.019 0.981 0.250
18 Sm 0.981 0.019 0.750
19 Dy 0.408 0.592 0.750
20 Dy 0.592 0.408 0.250

space-group type: C2/c (15)
formation energy from the elements: 114 meV/atom
DFT total energy: -4.6222 eV per atom



## Pm2Nd3Sm6Dy (GGA-PBE)

Data for a relaxed structure of Pm2Nd3Sm6Dy.

abc: 6.303 6.303 12.071
angles: 95.00 95.00 119.98
Element x y z (fractional)
1 Pm 0.167 0.833 0.000
2 Pm 0.833 0.167 0.000
3 Nd 0.000 0.000 0.500
4 Nd 0.333 0.667 0.500
5 Nd 0.667 0.333 0.500
6 Sm 0.085 0.417 0.752
7 Sm 0.250 0.250 0.248
8 Sm 0.417 0.085 0.752
9 Sm 0.583 0.915 0.248
10 Sm 0.750 0.750 0.752
11 Sm 0.915 0.583 0.248
12 Dy 0.500 0.500 0.000

space-group type: C2/m (12)
formation energy from the elements: 13 meV/atom
DFT total energy: -4.7133 eV per atom



## PmNd2SmDy2 (GGA-PBE)

Data for a relaxed structure of PmNd2SmDy2.

abc: 6.629 18.224 3.423
angles: 90.00 90.00 90.00
Element x y z (fractional)
1 Pm 0.000 0.000 0.000
2 Pm 0.500 0.500 0.500
3 Nd 0.223 0.187 0.000
4 Nd 0.277 0.687 0.500
5 Nd 0.723 0.313 0.500
6 Nd 0.777 0.813 0.000
7 Sm 0.000 0.500 0.000
8 Sm 0.500 0.000 0.500
9 Dy 0.221 0.353 0.500
10 Dy 0.279 0.853 0.000
11 Dy 0.721 0.147 0.000
12 Dy 0.779 0.647 0.500

space-group type: Pnnm (58)
formation energy from the elements: 257 meV/atom
DFT total energy: -4.4443 eV per atom



## PmNdSm2Dy2 (GGA-PBE)

Data for a relaxed structure of PmNdSm2Dy2.

abc: 6.630 18.082 3.423
angles: 90.00 90.00 90.00
Element x y z (fractional)
1 Pm 0.000 0.000 0.000
2 Pm 0.500 0.500 0.500
3 Nd 0.000 0.500 0.000
4 Nd 0.500 0.000 0.500
5 Sm 0.226 0.186 0.000
6 Sm 0.274 0.686 0.500
7 Sm 0.726 0.314 0.500
8 Sm 0.774 0.814 0.000
9 Dy 0.224 0.352 0.500
10 Dy 0.276 0.852 0.000
11 Dy 0.724 0.148 0.000
12 Dy 0.776 0.648 0.500

space-group type: Pnnm (58)
formation energy from the elements: 264 meV/atom
DFT total energy: -4.4296 eV per atom



## PmNd2Sm6Dy3 (GGA-PBE)

Data for a relaxed structure of PmNd2Sm6Dy3.

abc: 6.269 6.269 11.990
angles: 95.01 95.01 120.00
Element x y z (fractional)
1 Pm 0.000 0.000 0.000
2 Nd 0.333 0.667 0.000
3 Nd 0.667 0.333 0.000
4 Sm 0.084 0.418 0.254
5 Sm 0.249 0.249 0.746
6 Sm 0.418 0.084 0.254
7 Sm 0.582 0.916 0.746
8 Sm 0.751 0.751 0.254
9 Sm 0.916 0.582 0.746
10 Dy 0.167 0.833 0.500
11 Dy 0.500 0.500 0.500
12 Dy 0.833 0.167 0.500

space-group type: C2/m (12)
formation energy from the elements: 15 meV/atom
DFT total energy: -4.6855 eV per atom



## Pm2NdSm6Dy (GGA-PBE)

Data for a relaxed structure of Pm2NdSm6Dy.

abc: 8.926 8.926 9.812
angles: 94.24 94.24 117.96
Element x y z (fractional)
1 Pm 0.197 0.298 0.043
2 Pm 0.298 0.197 0.543
3 Pm 0.702 0.803 0.457
4 Pm 0.803 0.702 0.957
5 Nd 0.021 0.979 0.250
6 Nd 0.979 0.021 0.750
7 Sm 0.017 0.570 0.187
8 Sm 0.121 0.748 0.556
9 Sm 0.252 0.879 0.944
10 Sm 0.294 0.506 0.380
11 Sm 0.430 0.983 0.313
12 Sm 0.494 0.706 0.120
13 Sm 0.506 0.294 0.880
14 Sm 0.570 0.017 0.687
15 Sm 0.706 0.494 0.620
16 Sm 0.748 0.121 0.056
17 Sm 0.879 0.252 0.444
18 Sm 0.983 0.430 0.813
19 Dy 0.408 0.592 0.750
20 Dy 0.592 0.408 0.250

space-group type: C2/c (15)
formation energy from the elements: 115 meV/atom
DFT total energy: -4.6037 eV per atom



## PmNdSm2Dy5 (GGA-PBE)

Data for a relaxed structure of PmNdSm2Dy5.

abc: 9.934 9.934 9.934
angles: 127.99 127.99 76.65
Element x y z (fractional)
1 Pm 0.250 0.250 0.000
2 Pm 0.750 0.750 0.000
3 Nd 0.250 0.750 0.500
4 Nd 0.750 0.250 0.500
5 Sm 0.118 0.618 0.735
6 Sm 0.382 0.118 0.500
7 Sm 0.618 0.882 0.500
8 Sm 0.882 0.382 0.265
9 Dy 0.000 0.000 0.000
10 Dy 0.070 0.156 0.500
11 Dy 0.156 0.656 0.086
12 Dy 0.344 0.430 0.500
13 Dy 0.430 0.930 0.086
14 Dy 0.500 0.500 0.000
15 Dy 0.570 0.070 0.914
16 Dy 0.656 0.570 0.500
17 Dy 0.844 0.344 0.914
18 Dy 0.930 0.844 0.500

space-group type: I4/mcm (140)
formation energy from the elements: 259 meV/atom
DFT total energy: -4.4038 eV per atom



## PmNd4Sm2Dy2 (GGA-PBE)

Data for a relaxed structure of PmNd4Sm2Dy2.

abc: 8.134 8.134 8.116
angles: 107.53 107.53 36.86
Element x y z (fractional)
1 Pm 0.000 0.000 0.000
2 Nd 0.222 0.222 0.331
3 Nd 0.445 0.445 0.668
4 Nd 0.555 0.555 0.332
5 Nd 0.778 0.778 0.669
6 Sm 0.112 0.112 0.668
7 Sm 0.888 0.888 0.332
8 Dy 0.332 0.332 0.001
9 Dy 0.668 0.668 0.999

space-group type: C2/m (12)
formation energy from the elements: 16 meV/atom
DFT total energy: -4.7025 eV per atom



## PmNd3Sm2Dy6 (GGA-PBE)

Data for a relaxed structure of PmNd3Sm2Dy6.

abc: 6.247 6.247 11.857
angles: 95.03 95.03 120.00
Element x y z (fractional)
1 Pm 0.000 0.000 0.000
2 Nd 0.167 0.833 0.500
3 Nd 0.500 0.500 0.500
4 Nd 0.833 0.167 0.500
5 Sm 0.333 0.667 0.000
6 Sm 0.667 0.333 0.000
7 Dy 0.083 0.416 0.249
8 Dy 0.250 0.250 0.751
9 Dy 0.416 0.083 0.249
10 Dy 0.584 0.917 0.751
11 Dy 0.750 0.750 0.249
12 Dy 0.917 0.584 0.751

space-group type: C2/m (12)
formation energy from the elements: 12 meV/atom
DFT total energy: -4.6630 eV per atom



## PmNd2SmDy4 (GGA-PBE)

Data for a relaxed structure of PmNd2SmDy4.

abc: 9.548 9.548 6.842
angles: 110.99 110.99 88.04
Element x y z (fractional)
1 Pm 0.000 0.000 0.000
2 Pm 0.000 0.000 0.500
3 Nd 0.000 0.500 0.000
4 Nd 0.500 0.000 0.500
5 Nd 0.500 0.500 0.000
6 Nd 0.500 0.500 0.500
7 Sm 0.000 0.500 0.500
8 Sm 0.500 0.000 0.000
9 Dy 0.241 0.742 0.991
10 Dy 0.249 0.250 0.500
11 Dy 0.250 0.249 0.000
12 Dy 0.258 0.759 0.509
13 Dy 0.742 0.241 0.491
14 Dy 0.750 0.751 0.000
15 Dy 0.751 0.750 0.500
16 Dy 0.759 0.258 0.009

space-group type: C2/c (15)
formation energy from the elements: 408 meV/atom
DFT total energy: -4.2684 eV per atom



## Pm4NdSm2Dy2 (GGA-PBE)

Data for a relaxed structure of Pm4NdSm2Dy2.

abc: 8.109 8.109 8.095
angles: 107.54 107.54 36.86
Element x y z (fractional)
1 Pm 0.055 0.055 0.332
2 Pm 0.278 0.278 0.669
3 Pm 0.722 0.722 0.331
4 Pm 0.945 0.945 0.668
5 Nd 0.500 0.500 0.000
6 Sm 0.388 0.388 0.333
7 Sm 0.612 0.612 0.667
8 Dy 0.168 0.168 0.000
9 Dy 0.832 0.832 0.000

space-group type: C2/m (12)
formation energy from the elements: 15 meV/atom
DFT total energy: -4.6972 eV per atom



## PmNd6Sm2Dy (GGA-PBE)

Data for a relaxed structure of PmNd6Sm2Dy.

abc: 8.991 8.991 9.843
angles: 94.22 94.22 117.87
Element x y z (fractional)
1 Pm 0.022 0.978 0.750
2 Pm 0.978 0.022 0.250
3 Nd 0.014 0.569 0.688
4 Nd 0.118 0.752 0.055
5 Nd 0.248 0.882 0.445
6 Nd 0.294 0.506 0.881
7 Nd 0.431 0.986 0.812
8 Nd 0.494 0.706 0.619
9 Nd 0.506 0.294 0.381
10 Nd 0.569 0.014 0.188
11 Nd 0.706 0.494 0.119
12 Nd 0.752 0.118 0.555
13 Nd 0.882 0.248 0.945
14 Nd 0.986 0.431 0.312
15 Sm 0.198 0.297 0.544
16 Sm 0.297 0.198 0.044
17 Sm 0.703 0.802 0.956
18 Sm 0.802 0.703 0.456
19 Dy 0.409 0.591 0.250
20 Dy 0.591 0.409 0.750

space-group type: C2/c (15)
formation energy from the elements: 113 meV/atom
DFT total energy: -4.6269 eV per atom



## Pm3NdSmDy (GGA-PBE)

Data for a relaxed structure of Pm3NdSmDy.

abc: 8.115 5.147 10.269
angles: 90.00 108.51 90.00
Element x y z (fractional)
1 Pm 0.168 0.250 0.042
2 Pm 0.168 0.750 0.791
3 Pm 0.169 0.250 0.542
4 Pm 0.831 0.750 0.458
5 Pm 0.832 0.250 0.209
6 Pm 0.832 0.750 0.958
7 Nd 0.169 0.750 0.293
8 Nd 0.831 0.250 0.707
9 Sm 0.500 0.250 0.874
10 Sm 0.500 0.750 0.126
11 Dy 0.500 0.250 0.376
12 Dy 0.500 0.750 0.624

space-group type: P2_1/m (11)
formation energy from the elements: 16 meV/atom
DFT total energy: -4.7075 eV per atom



## Pm4Nd2Sm2Dy (GGA-PBE)

Data for a relaxed structure of Pm4Nd2Sm2Dy.

abc: 9.694 9.694 9.772
angles: 115.11 115.11 21.83
Element x y z (fractional)
1 Pm 0.018 0.018 0.331
2 Pm 0.315 0.315 0.667
3 Pm 0.685 0.685 0.333
4 Pm 0.982 0.982 0.669
5 Nd 0.166 0.166 0.999
6 Nd 0.834 0.834 0.001
7 Sm 0.352 0.352 0.333
8 Sm 0.648 0.648 0.667
9 Dy 0.500 0.500 0.000

space-group type: C2/m (12)
formation energy from the elements: 9 meV/atom
DFT total energy: -4.7214 eV per atom



## PmNd2SmDy (GGA-PBE)

Data for a relaxed structure of PmNd2SmDy.

abc: 8.231 6.742 6.289
angles: 90.00 90.21 90.00
Element x y z (fractional)
1 Pm 0.000 0.078 0.250
2 Pm 0.000 0.922 0.750
3 Nd 0.305 0.196 0.749
4 Nd 0.305 0.804 0.249
5 Nd 0.695 0.196 0.751
6 Nd 0.695 0.804 0.251
7 Sm 0.000 0.500 0.000
8 Sm 0.000 0.500 0.500
9 Dy 0.500 0.338 0.250
10 Dy 0.500 0.662 0.750

space-group type: P2/c (13)
formation energy from the elements: 256 meV/atom
DFT total energy: -4.4651 eV per atom



## PmNd2SmDy5 (GGA-PBE)

Data for a relaxed structure of PmNd2SmDy5.

abc: 9.970 9.970 9.970
angles: 128.22 128.22 76.28
Element x y z (fractional)
1 Pm 0.250 0.250 0.000
2 Pm 0.750 0.750 0.000
3 Nd 0.118 0.618 0.736
4 Nd 0.382 0.118 0.500
5 Nd 0.618 0.882 0.500
6 Nd 0.882 0.382 0.264
7 Sm 0.250 0.750 0.500
8 Sm 0.750 0.250 0.500
9 Dy 0.000 0.000 0.000
10 Dy 0.071 0.152 0.500
11 Dy 0.152 0.652 0.081
12 Dy 0.348 0.429 0.500
13 Dy 0.429 0.929 0.081
14 Dy 0.500 0.500 0.000
15 Dy 0.571 0.071 0.919
16 Dy 0.652 0.571 0.500
17 Dy 0.848 0.348 0.919
18 Dy 0.929 0.848 0.500

space-group type: I4/mcm (140)
formation energy from the elements: 256 meV/atom
DFT total energy: -4.4125 eV per atom